(1)
DFT (GGA-PBE) results for an optimized crystal structure of Ba2VCr.

abc: 5.9240 5.9240 5.9240
angles: 60.00 60.00 60.00
Each line ends with the local moment (μB).
Positions (direct):
Cr: 0.5000 0.5000 0.5000  4.06
Ba: 0.2500 0.2500 0.2500  0.13
Ba: 0.7500 0.7500 0.7500  0.13
V: 0.0000 0.0000 0.0000  3.04

Output
- space-group type = Fm-3m, No. 225
- DFT formation energy (eV per atom) = 0.991
- electronic total energy (eV/atom) = -4.655


(2)
DFT (GGA-PBE) results for an optimized crystal structure of ZrHgTeN2.

abc: 4.1916 4.1916 6.2717
angles: 90.00 90.00 90.00
Each line ends with the local moment (μB).
Positions (direct):
Te: 0.0000 0.0000 0.5000  0.01
N: 0.5000 0.0000 0.0000  0.08
N: 0.0000 0.5000 0.0000  0.08
Hg: 0.5000 0.5000 0.5000  0.00
Zr: 0.0000 0.0000 0.0000  -0.02

Output
- space-group type = P4/mmm, No. 123
- E_form (uncorrected) (eV per formula unit) = 1.8
- energy relative to the lowest polymorph listed for this composition (eV/atom) = 0.0000
- electronic total energy (eV/atom) = -5.366


(3)
DFT (GGA-PBE) results for an optimized crystal structure of Rb2UBiTe5.

abc: 4.7184 10.4656 16.1387
angles: 90.00 90.00 103.03
Each line ends with the local moment (μB).
Positions (direct):
Te: 0.5047 0.0093 0.2673  -0.02
Te: 0.7125 0.4251 0.1483  -0.08
Te: 0.6892 0.3783 0.9055  -0.06
Te: 0.2875 0.5749 0.6483  -0.08
Te: 0.0613 0.1227 0.0622  -0.06
Te: 0.4953 0.9907 0.7673  -0.02
Te: 0.9387 0.8773 0.5622  -0.06
Te: 0.3108 0.6217 0.4055  -0.06
Te: 0.3446 0.6893 0.9949  -0.09
Te: 0.6554 0.3107 0.4949  -0.09
U: 0.7929 0.5858 0.5309  1.56
U: 0.2071 0.4142 0.0309  1.56
Bi: 0.5443 0.0885 0.9336  0.00
Bi: 0.4557 0.9115 0.4336  0.00
Rb: 0.1071 0.2142 0.6684  0.00
Rb: 0.8929 0.7858 0.1684  0.00
Rb: 0.1365 0.2729 0.3128  0.00
Rb: 0.8635 0.7271 0.8128  0.00

Output
- space-group type = Cmc2_1, No. 36
- E_form (uncorrected) (eV per formula unit) = -5.5
- electronic total energy (eV/atom) = -4.261


(4)
DFT (GGA-PBE) results for an optimized crystal structure of PaGa2TcO8.

abc: 4.7265 4.7247 6.3861
angles: 90.00 90.00 90.53
Each line ends with the local moment (μB).
Positions (direct):
O: 0.3172 0.3164 0.5000  0.01
O: 0.2026 0.7967 0.2277  0.06
O: 0.7974 0.2033 0.2277  0.06
O: 0.7042 0.7047 0.0000  0.00
O: 0.2958 0.2953 0.0000  0.00
O: 0.7974 0.2033 0.7723  0.06
O: 0.6828 0.6836 0.5000  0.01
O: 0.2026 0.7967 0.7723  0.06
Tc: 0.0000 0.0000 0.0000  1.48
Pa: 0.0000 0.0000 0.5000  0.07
Ga: 0.5000 0.5000 0.2395  0.03
Ga: 0.5000 0.5000 0.7605  0.03

Output
- space-group type = Cmmm, No. 65
- E_form (uncorrected) (eV per formula unit) = -25.3
- electronic total energy (eV/atom) = -7.572


(5)
DFT (GGA-PBE) results for an optimized crystal structure of TcW2Au.

abc: 4.8519 4.8519 2.8784
angles: 89.98 89.98 109.62
Positions (direct):
Au: 0.5000 0.0000 0.5000
Tc: 0.0000 0.5000 0.5000
W: 0.5000 0.5000 0.0000
W: 0.0000 0.0000 0.0000

Output
- space-group type = Cmmm, No. 65
- DFT formation energy (eV per atom) = 0.285
- energy relative to the lowest polymorph listed for this composition (eV/atom) = 0.0676
- electronic total energy (eV/atom) = -9.603


(6)
DFT (GGA-PBE) results for an optimized crystal structure of Pm4PrSm2Th.

abc: 3.6449 6.2970 12.1176
angles: 79.89 90.00 90.00
Positions (direct):
Sm: 0.5000 0.0000 0.5000
Sm: 0.0000 0.0000 0.0000
Pm: 0.0000 0.7476 0.7470
Pm: 0.5000 0.2568 0.7447
Pm: 0.5000 0.7432 0.2553
Pm: 0.0000 0.2524 0.2530
Pr: 0.5000 0.5000 0.0000
Th: 0.0000 0.5000 0.5000

Output
- space-group type = P2/m, No. 10
- DFT formation energy (eV per atom) = 0.030
- electronic total energy (eV/atom) = -5.050


(7)
DFT (GGA-PBE) results for an optimized crystal structure of LaAgIr2.

abc: 5.2129 5.2129 5.2129
angles: 131.99 131.99 70.25
Positions (direct):
Ag: 0.7500 0.2500 0.5000
Ir: 0.0000 0.0000 0.0000
Ir: 0.2500 0.7500 0.5000
La: 0.5000 0.5000 0.0000

Output
- space-group type = I-4m2, No. 119
- DFT formation energy (eV per atom) = 0.056
- energy relative to the lowest polymorph listed for this composition (eV/atom) = 0.1414
- electronic total energy (eV/atom) = -6.319


(8)
DFT (GGA-PBE) results for an optimized crystal structure of Th3B4Ru4.

abc: 4.2727 3.6010 11.6768
angles: 81.24 88.84 92.64
Positions (direct):
Th: 0.8531 0.3558 0.2963
Th: 0.0000 0.0000 0.0000
Th: 0.1470 0.6442 0.7037
B: 0.1593 0.2101 0.5094
B: 0.8407 0.7900 0.4906
B: 0.3514 0.8890 0.2276
B: 0.6487 0.1110 0.7724
Ru: 0.5982 0.5544 0.8806
Ru: 0.4018 0.4456 0.1194
Ru: 0.6577 0.2267 0.5744
Ru: 0.3422 0.7734 0.4256

Output
- space-group type = P-1, No. 2
- DFT formation energy (eV per atom) = -0.382
- electronic total energy (eV/atom) = -8.207


(9)
DFT (GGA-PBE) results for an optimized crystal structure of La2SmCd2.

abc: 6.0919 8.5020 8.1210
angles: 121.56 112.03 90.00
Each line ends with the local moment (μB).
Positions (direct):
Sm: 0.7500 0.5000 0.0000  0.08
Sm: 0.2500 0.5000 0.0000  0.08
Cd: 0.9434 0.1079 0.8868  0.00
Cd: 0.5566 0.2211 0.1132  0.00
Cd: 0.4434 0.7789 0.8868  0.00
Cd: 0.0566 0.8921 0.1132  0.00
La: 0.7908 0.6397 0.5815  0.01
La: 0.7092 0.0582 0.4185  0.01
La: 0.2908 0.9418 0.5815  0.01
La: 0.2092 0.3603 0.4185  0.01

Output
- space-group type = Ibam, No. 72
- DFT formation energy (eV per atom) = -0.058
- energy relative to the lowest polymorph listed for this composition (eV/atom) = 0.1897
- electronic total energy (eV/atom) = -3.339


(10)
DFT (GGA-PBE) results for an optimized crystal structure of LaCoP2.

abc: 4.8814 4.8814 4.8814
angles: 134.29 105.50 91.98
Each line ends with the local moment (μB).
Positions (direct):
P: 0.5793 0.5793 0.0000  0.01
P: 0.9207 0.9207 0.0000  0.01
La: 0.2500 0.7500 0.5000  0.00
Co: 0.7500 0.2500 0.5000  0.17

Output
- space-group type = Immm, No. 71
- DFT formation energy (eV per atom) = -0.814
- energy relative to the lowest polymorph listed for this composition (eV/atom) = 0.1072
- electronic total energy (eV/atom) = -6.527


(11)
DFT (GGA-PBE) results for an optimized crystal structure of Hf4Zr2ScPa.

abc: 5.3285 5.3340 8.3912
angles: 50.54 90.00 90.00
Positions (direct):
Hf: 0.0000 0.2345 0.2654
Hf: 0.5000 0.2653 0.7349
Hf: 0.0000 0.7655 0.7346
Hf: 0.5000 0.7347 0.2651
Zr: 0.0000 0.0000 0.0000
Zr: 0.5000 0.0000 0.5000
Pa: 0.0000 0.5000 0.5000
Sc: 0.5000 0.5000 0.0000

Output
- space-group type = P4/mmm, No. 123
- DFT formation energy (eV per atom) = 0.116
- electronic total energy (eV/atom) = -8.976


(12)
DFT (GGA-PBE) results for an optimized crystal structure of Sm5MgTe6.

abc: 7.6477 7.6431 7.6477
angles: 60.02 80.48 70.67
Positions (direct):
Te: 0.7612 0.3948 0.6841
Te: 0.2388 0.9211 0.6841
Te: 0.7548 0.7664 0.0000
Te: 0.2452 0.2336 0.0000
Te: 0.7612 0.0789 0.3159
Te: 0.2388 0.6052 0.3159
Sm: 0.5000 0.5000 0.0000
Sm: 0.5000 0.1750 0.6499
Sm: 0.0000 0.6661 0.6677
Sm: 0.5000 0.8250 0.3501
Sm: 0.0000 0.3339 0.3323
Mg: 0.0000 0.0000 0.0000

Output
- space-group type = C2/m, No. 12
- E_form (uncorrected) (eV per formula unit) = -15.3
- electronic total energy (eV/atom) = -4.944


Q: electronic total energy of number 1 (Ba2VCr)?
A: -4.655 eV/atom


Q: Which of these has the highest electronic total energy?
A: La2SmCd2


Repeat the eleventh record exactly.
DFT (GGA-PBE) results for an optimized crystal structure of Hf4Zr2ScPa.

abc: 5.3285 5.3340 8.3912
angles: 50.54 90.00 90.00
Positions (direct):
Hf: 0.0000 0.2345 0.2654
Hf: 0.5000 0.2653 0.7349
Hf: 0.0000 0.7655 0.7346
Hf: 0.5000 0.7347 0.2651
Zr: 0.0000 0.0000 0.0000
Zr: 0.5000 0.0000 0.5000
Pa: 0.0000 0.5000 0.5000
Sc: 0.5000 0.5000 0.0000

Output
- space-group type = P4/mmm, No. 123
- DFT formation energy (eV per atom) = 0.116
- electronic total energy (eV/atom) = -8.976